Entry from the Alexandria database: Ho8Er2Cd after structural relaxation (PBE).

Values from the calculation:
The calculation puts the density at 8917 kg/m3. The spin magnetization is 0.00 Bohr magnetons per cell. For the energy above the most stable polymorph in this dataset, the calculation gives 0.16 eV/f.u. Its energy of formation from the pure elements is -0.03 eV per formula unit.

Unit cell a=6.030 b=7.777 c=9.213 alpha=94.68 beta=83.95 gamma=130.03
Fractional coordinates of all 11 atoms:
Ho1 0.591 0.181 0.362
Ho2 0.772 0.542 0.090
Ho3 0.860 0.725 0.456
Ho4 0.955 0.906 0.821
Ho5 0.140 0.275 0.544
Ho6 0.228 0.458 0.910
Ho7 0.409 0.819 0.638
Ho8 0.045 0.094 0.179
Er1 0.674 0.362 0.730
Er2 0.326 0.638 0.270
Cd1 0.500 0.000 0.000

Entry from the Alexandria database: HoEr2Cd6 after structural relaxation (PBE).

Values from the calculation:
The calculation puts the density at 8969 kg/m3. The spin magnetization is 0.00 Bohr magnetons per cell. Its energy of formation from the pure elements is -2.72 eV per formula unit.

Unit cell a=3.405 b=8.585 c=8.585 alpha=120.00 beta=90.00 gamma=90.00
Fractional coordinates of all 9 atoms:
Ho1 0.000 0.000 0.000
Er1 0.000 0.333 0.667
Er2 0.000 0.667 0.333
Cd1 0.500 0.334 0.334
Cd2 0.500 0.666 0.666
Cd3 0.500 0.000 0.666
Cd4 0.500 0.666 0.000
Cd5 0.500 0.334 0.000
Cd6 0.500 0.000 0.334

Entry from the Alexandria database: Ho5Er3Cd after structural relaxation (PBE).

Values from the calculation:
The calculation puts the density at 7585 kg/m3. The spin magnetization is 0.00 Bohr magnetons per cell. Its energy of formation from the pure elements is 3.79 eV per formula unit.

Unit cell a=8.171 b=8.171 c=12.826 alpha=60.63 beta=60.63 gamma=87.03
Fractional coordinates of all 18 atoms:
Ho1 0.860 0.341 0.217
Ho2 0.262 0.738 0.000
Ho3 0.685 0.685 0.055
Ho4 0.340 0.340 0.411
Ho5 0.660 0.660 0.589
Ho6 0.315 0.315 0.945
Ho7 0.341 0.860 0.217
Ho8 0.738 0.262 0.000
Ho9 0.140 0.659 0.783
Ho10 0.659 0.140 0.783
Er1 0.677 0.677 0.818
Er2 0.670 0.670 0.327
Er3 0.000 0.000 0.000
Er4 0.000 0.000 0.500
Er5 0.323 0.323 0.182
Er6 0.330 0.330 0.673
Cd1 0.031 0.031 0.736
Cd2 0.969 0.969 0.264

Entry from the Alexandria database: Ho2ErCd after structural relaxation (PBE).

Values from the calculation:
The calculation puts the density at 8701 kg/m3. The spin magnetization is 0.00 Bohr magnetons per cell. For the energy above the most stable polymorph in this dataset, the calculation gives 0.30 eV/f.u. Its energy of formation from the pure elements is -0.27 eV per formula unit.

Unit cell a=3.536 b=3.536 c=10.933 alpha=80.69 beta=80.69 gamma=60.00
Fractional coordinates of all 4 atoms:
Cd1 0.000 0.000 0.000
Ho1 0.255 0.255 0.235
Ho2 0.745 0.745 0.765
Er1 0.500 0.500 0.500

Entry from the Alexandria database: Ho5Er4Cd after structural relaxation (PBE).

Values from the calculation:
The calculation puts the density at 8518 kg/m3. The spin magnetization is 0.00 Bohr magnetons per cell. For the energy above the most stable polymorph in this dataset, the calculation gives 1.99 eV/f.u. Its energy of formation from the pure elements is 1.56 eV per formula unit.

Unit cell a=5.675 b=7.951 c=7.951 alpha=82.68 beta=69.09 gamma=69.09
Fractional coordinates of all 10 atoms:
Ho1 0.769 0.370 0.000
Ho2 0.139 0.000 0.630
Ho3 0.769 0.000 0.370
Ho4 0.139 0.630 0.000
Ho5 0.662 0.000 0.000
Er1 0.463 0.322 0.678
Er2 0.784 0.678 0.678
Er3 0.141 0.322 0.322
Er4 0.463 0.678 0.322
Cd1 0.182 0.000 0.000

Entry from the Alexandria database: Ho7ErCd2 after structural relaxation (PBE).

Values from the calculation:
The calculation puts the density at 7074 kg/m3. The spin magnetization is 0.00 Bohr magnetons per cell. Its energy of formation from the pure elements is 4.18 eV per formula unit.

Unit cell a=5.185 b=9.037 c=9.037 alpha=120.97 beta=90.00 gamma=90.00
Fractional coordinates of all 10 atoms:
Ho1 0.000 0.778 0.222
Ho2 0.000 0.222 0.778
Ho3 0.500 0.066 0.298
Ho4 0.500 0.934 0.702
Ho5 0.500 0.298 0.066
Ho6 0.500 0.702 0.934
Ho7 0.500 0.500 0.500
Er1 0.000 0.000 0.000
Cd1 0.500 0.696 0.304
Cd2 0.500 0.304 0.696

Entry from the Alexandria database: Ho12Er6Cd after structural relaxation (PBE).

Values from the calculation:
The calculation puts the density at 8727 kg/m3. The spin magnetization is 0.00 Bohr magnetons per cell. For the energy above the most stable polymorph in this dataset, the calculation gives 0.77 eV/f.u. Its energy of formation from the pure elements is 2.10 eV per formula unit.

Unit cell a=8.384 b=8.384 c=8.384 alpha=88.80 beta=88.80 gamma=88.80
Fractional coordinates of all 19 atoms:
Ho1 0.782 0.538 0.435
Ho2 0.435 0.782 0.538
Ho3 0.538 0.435 0.782
Ho4 0.218 0.462 0.565
Ho5 0.565 0.218 0.462
Ho6 0.462 0.565 0.218
Ho7 0.015 0.178 0.364
Ho8 0.822 0.636 0.985
Ho9 0.636 0.985 0.822
Ho10 0.985 0.822 0.636
Ho11 0.178 0.364 0.015
Ho12 0.364 0.015 0.178
Er1 0.739 0.902 0.289
Er2 0.711 0.261 0.098
Er3 0.098 0.711 0.261
Er4 0.261 0.098 0.711
Er5 0.289 0.739 0.902
Er6 0.902 0.289 0.739
Cd1 0.000 0.000 0.000

Entry from the Alexandria database: Ho2ErCd after structural relaxation (PBE).

Values from the calculation:
The calculation puts the density at 8580 kg/m3. The spin magnetization is 0.63 Bohr magnetons per cell. For the energy above the most stable polymorph in this dataset, the calculation gives 0.31 eV/f.u. Its energy of formation from the pure elements is -0.26 eV per formula unit.

Unit cell a=3.579 b=3.579 c=10.833 alpha=80.49 beta=80.49 gamma=60.00
Fractional coordinates of all 4 atoms:
Ho1 0.078 0.078 0.765
Ho2 0.255 0.255 0.235
Er1 0.500 0.500 0.500
Cd1 0.667 0.667 0.000

Entry from the Alexandria database: Ho8Er5Cd after structural relaxation (PBE).

Values from the calculation:
The calculation puts the density at 8497 kg/m3. The spin magnetization is 0.00 Bohr magnetons per cell. Its energy of formation from the pure elements is 2.90 eV per formula unit.

Unit cell a=8.322 b=8.322 c=8.322 alpha=110.49 beta=107.44 gamma=110.49
Fractional coordinates of all 14 atoms:
Ho1 0.165 0.725 0.069
Ho2 0.931 0.096 0.657
Ho3 0.736 0.259 0.342
Ho4 0.658 0.394 0.918
Ho5 0.524 0.606 0.264
Ho6 0.561 0.904 0.835
Ho7 0.343 0.275 0.439
Ho8 0.082 0.741 0.476
Er1 0.021 0.308 0.125
Er2 0.875 0.896 0.183
Er3 0.817 0.692 0.713
Er4 0.500 0.000 0.500
Er5 0.287 0.104 0.979
Cd1 0.250 0.500 0.750

Entry from the Alexandria database: Ho2Er7Cd2 after structural relaxation (PBE).

Values from the calculation:
The calculation puts the density at 8730 kg/m3. The spin magnetization is 0.00 Bohr magnetons per cell. Its energy of formation from the pure elements is 0.44 eV per formula unit.

Unit cell a=7.945 b=6.535 c=6.535 alpha=92.01 beta=100.05 gamma=100.05
Fractional coordinates of all 11 atoms:
Ho1 0.500 0.178 0.822
Ho2 0.500 0.822 0.178
Er1 0.175 0.885 0.478
Er2 0.825 0.522 0.115
Er3 0.825 0.115 0.522
Er4 0.175 0.478 0.885
Er5 0.000 0.000 0.000
Er6 0.535 0.692 0.692
Er7 0.465 0.308 0.308
Cd1 0.142 0.399 0.399
Cd2 0.858 0.601 0.601

Entry from the Alexandria database: Ho3Er2Cd after structural relaxation (PBE).

Values from the calculation:
The calculation puts the density at 8912 kg/m3. The spin magnetization is 0.00 Bohr magnetons per cell. For the energy above the most stable polymorph in this dataset, the calculation gives 0.00 eV/f.u. Its energy of formation from the pure elements is -0.53 eV per formula unit.

Unit cell a=3.531 b=3.531 c=14.074 alpha=90.00 beta=90.00 gamma=90.00
Fractional coordinates of all 6 atoms:
Ho1 0.000 0.000 0.000
Ho2 0.000 0.000 0.649
Ho3 0.000 0.000 0.351
Er1 0.500 0.500 0.824
Er2 0.500 0.500 0.176
Cd1 0.500 0.500 0.500

Entry from the Alexandria database: Ho3Er2Cd3 after structural relaxation (PBE).

Values from the calculation:
The calculation puts the density at 8928 kg/m3. The spin magnetization is 0.00 Bohr magnetons per cell. Its energy of formation from the pure elements is -1.87 eV per formula unit.

Unit cell a=3.706 b=5.312 c=11.486 alpha=103.37 beta=99.28 gamma=90.00
Fractional coordinates of all 8 atoms:
Ho1 0.624 0.624 0.247
Ho2 0.376 0.376 0.753
Ho3 0.500 0.000 0.000
Er1 0.734 0.234 0.468
Er2 0.266 0.766 0.532
Cd1 0.117 0.117 0.235
Cd2 0.000 0.500 0.000
Cd3 0.883 0.883 0.765

Entry from the Alexandria database: HoErCd after structural relaxation (PBE).

Values from the calculation:
The calculation puts the density at 8563 kg/m3. The spin magnetization is 0.00 Bohr magnetons per cell. For the energy above the most stable polymorph in this dataset, the calculation gives 0.37 eV/f.u. Its energy of formation from the pure elements is -0.20 eV per formula unit.

Unit cell a=5.210 b=5.210 c=7.929 alpha=70.82 beta=70.82 gamma=60.00
Fractional coordinates of all 6 atoms:
Er1 0.292 0.292 0.125
Er2 0.708 0.708 0.875
Ho1 0.127 0.127 0.619
Ho2 0.873 0.873 0.381
Cd1 0.434 0.434 0.698
Cd2 0.566 0.566 0.302

Entry from the Alexandria database: Ho3Er2Cd4 after structural relaxation (PBE).

Values from the calculation:
The calculation puts the density at 8544 kg/m3. The spin magnetization is 0.00 Bohr magnetons per cell. Its energy of formation from the pure elements is -1.16 eV per formula unit.

Unit cell a=6.653 b=7.993 c=9.923 alpha=90.00 beta=109.59 gamma=90.00
Fractional coordinates of all 18 atoms:
Ho1 0.000 0.000 0.000
Ho2 0.500 0.500 0.000
Ho3 0.505 0.750 0.509
Ho4 0.995 0.250 0.491
Ho5 0.495 0.250 0.491
Ho6 0.005 0.750 0.509
Er1 0.091 0.601 0.183
Er2 0.909 0.399 0.817
Er3 0.409 0.101 0.817
Er4 0.591 0.899 0.183
Cd1 0.674 0.750 0.847
Cd2 0.826 0.250 0.153
Cd3 0.326 0.250 0.153
Cd4 0.174 0.750 0.847
Cd5 0.159 0.980 0.319
Cd6 0.841 0.020 0.681
Cd7 0.341 0.480 0.681
Cd8 0.659 0.520 0.319

Entry from the Alexandria database: Ho2ErCd2 after structural relaxation (PBE).

Values from the calculation:
The calculation puts the density at 8950 kg/m3. The spin magnetization is 0.00 Bohr magnetons per cell. For the energy above the most stable polymorph in this dataset, the calculation gives 0.00 eV/f.u. Its energy of formation from the pure elements is -1.28 eV per formula unit.

Unit cell a=3.703 b=5.300 c=13.777 alpha=90.00 beta=97.75 gamma=90.00
Fractional coordinates of all 10 atoms:
Ho1 0.046 0.750 0.091
Ho2 0.954 0.250 0.909
Ho3 0.236 0.750 0.472
Ho4 0.764 0.250 0.528
Er1 0.850 0.750 0.702
Er2 0.150 0.250 0.298
Cd1 0.641 0.750 0.282
Cd2 0.359 0.250 0.718
Cd3 0.448 0.750 0.896
Cd4 0.552 0.250 0.104

Entry from the Alexandria database: Ho5ErCd6 after structural relaxation (PBE).

Values from the calculation:
The calculation puts the density at 8920 kg/m3. The spin magnetization is 0.00 Bohr magnetons per cell. Its energy of formation from the pure elements is -3.82 eV per formula unit.

Unit cell a=5.258 b=7.462 c=8.332 alpha=90.00 beta=71.61 gamma=90.00
Fractional coordinates of all 12 atoms:
Cd1 0.834 0.750 0.333
Cd2 0.834 0.250 0.333
Cd3 0.500 0.249 0.000
Cd4 0.500 0.751 0.000
Cd5 0.166 0.750 0.667
Cd6 0.166 0.250 0.667
Ho1 0.667 0.500 0.666
Ho2 0.333 0.000 0.333
Ho3 0.000 0.500 0.000
Ho4 0.667 0.000 0.667
Ho5 0.333 0.500 0.334
Er1 0.000 0.000 0.000

Entry from the Alexandria database: Ho3Er2Cd2 after structural relaxation (PBE).

Values from the calculation:
The calculation puts the density at 8938 kg/m3. The spin magnetization is 0.00 Bohr magnetons per cell. For the energy above the most stable polymorph in this dataset, the calculation gives 0.69 eV/f.u. Its energy of formation from the pure elements is -0.36 eV per formula unit.

Unit cell a=5.055 b=3.441 c=11.538 alpha=90.00 beta=77.35 gamma=90.00
Fractional coordinates of all 7 atoms:
Ho1 0.852 0.000 0.296
Ho2 0.000 0.000 0.000
Ho3 0.148 0.000 0.704
Er1 0.710 0.500 0.579
Er2 0.290 0.500 0.421
Cd1 0.569 0.500 0.862
Cd2 0.431 0.500 0.138

Entry from the Alexandria database: Ho3Er2Cd after structural relaxation (PBE).

Values from the calculation:
The calculation puts the density at 8333 kg/m3. The spin magnetization is 0.03 Bohr magnetons per cell. For the energy above the most stable polymorph in this dataset, the calculation gives 2.60 eV/f.u. Its energy of formation from the pure elements is 2.07 eV per formula unit.

Unit cell a=3.316 b=11.507 c=7.748 alpha=137.95 beta=102.36 gamma=90.00
Fractional coordinates of all 6 atoms:
Ho1 0.000 0.024 0.000
Ho2 0.338 0.329 0.676
Ho3 0.662 0.653 0.324
Er1 0.828 0.568 0.655
Er2 0.172 0.913 0.345
Cd1 0.500 0.257 0.000

Entry from the Alexandria database: Ho4ErCd2 after structural relaxation (PBE).

Values from the calculation:
The calculation puts the density at 7731 kg/m3. The spin magnetization is 0.00 Bohr magnetons per cell. Its energy of formation from the pure elements is 1.55 eV per formula unit.

Unit cell a=5.092 b=5.092 c=10.483 alpha=75.95 beta=75.95 gamma=60.00
Fractional coordinates of all 7 atoms:
Ho1 0.703 0.703 0.890
Ho2 0.892 0.892 0.323
Ho3 0.297 0.297 0.110
Ho4 0.108 0.108 0.677
Er1 0.500 0.500 0.500
Cd1 0.600 0.600 0.200
Cd2 0.400 0.400 0.800

Entry from the Alexandria database: Ho4ErCd3 after structural relaxation (PBE).

Values from the calculation:
The calculation puts the density at 8871 kg/m3. The spin magnetization is 0.00 Bohr magnetons per cell. Its energy of formation from the pure elements is -1.36 eV per formula unit.

Unit cell a=5.310 b=5.310 c=9.436 alpha=73.66 beta=73.66 gamma=60.00
Fractional coordinates of all 8 atoms:
Cd1 0.260 0.260 0.221
Cd2 0.740 0.740 0.779
Cd3 0.500 0.500 0.500
Ho1 0.870 0.870 0.389
Ho2 0.385 0.385 0.844
Ho3 0.130 0.130 0.611
Ho4 0.615 0.615 0.156
Er1 0.000 0.000 0.000